PBE CaErCuRh, optimized geometry; total energy = -4.90 eV per atom; symmetry = No. 216; ΔE_f = -401 meV per atom; volume = 81 Å³/f.u.; magnetic moment = 0.000 μB/atom
1.0
0.0000 3.4375 3.4375
3.4375 0.0000 3.4375
3.4375 3.4375 0.0000
Ca Er Cu Rh
1 1 1 1
Direct
0.0000 0.0000 0.0000 Ca
0.5000 0.5000 0.5000 Er
0.2500 0.2500 0.2500 Cu
0.7500 0.7500 0.7500 Rh

PBE CaErCuRu, optimized geometry; total energy = -5.08 eV per atom; symmetry = No. 216; ΔE_f = -97 meV per atom; volume = 80 Å³/f.u.; magnetic moment = 0.000 μB/atom
1.0
0.0000 3.4268 3.4268
3.4268 0.0000 3.4268
3.4268 3.4268 0.0000
Ca Er Cu Ru
1 1 1 1
Direct
0.0000 0.0000 0.0000 Ca
0.5000 0.5000 0.5000 Er
0.2500 0.2500 0.2500 Cu
0.7500 0.7500 0.7500 Ru

PBE Ca2ErCuS4, optimized geometry; total energy = -5.29 eV per atom; symmetry = No. 10; volume = 169 Å³/f.u.; formation energy without anion corrections = -1.64 eV per atom; magnetic moment = 0.000 μB/atom
1.0
6.7659 0.0000 0.0000
0.0000 3.9258 0.0000
-2.3760 0.0000 6.3802
Ca Er Cu S
2 1 1 4
Direct
0.0000 0.0000 0.0000 Ca
0.5000 0.5000 0.0000 Ca
0.0000 0.5000 0.5000 Er
0.5000 0.0000 0.5000 Cu
0.2416 0.0000 0.7427 S
0.2618 0.5000 0.2732 S
0.7382 0.5000 0.7268 S
0.7584 0.0000 0.2573 S

PBE Ca2ErCu2S4, optimized geometry; total energy = -5.03 eV per atom; symmetry = No. 12; volume = 175 Å³/f.u.; formation energy without anion corrections = -1.34 eV per atom; magnetic moment = 0.000 μB/atom
1.0
7.1601 -1.8602 0.0000
7.1601 1.8602 0.0000
-2.8439 0.0000 6.5598
Ca Er Cu S
2 1 2 4
Direct
0.1348 0.1348 0.0813 Ca
0.8652 0.8652 0.9187 Ca
0.0000 0.0000 0.5000 Er
0.3128 0.3128 0.4766 Cu
0.6872 0.6872 0.5234 Cu
0.2011 0.2011 0.7454 S
0.4713 0.4713 0.7538 S
0.5287 0.5287 0.2462 S
0.7989 0.7989 0.2546 S

PBE CaErCuSe3, optimized geometry; total energy = -5.02 eV per atom; symmetry = No. 11; volume = 144 Å³/f.u.; formation energy without anion corrections = -1.50 eV per atom; magnetic moment = 0.000 μB/atom
1.0
8.2123 0.0000 0.0000
0.0000 3.9862 0.0000
-2.0043 0.0000 8.7772
Ca Er Cu Se
2 2 2 6
Direct
0.1884 0.2500 0.2476 Ca
0.8116 0.7500 0.7524 Ca
0.3247 0.7500 0.8297 Er
0.6753 0.2500 0.1703 Er
0.0810 0.2500 0.5826 Cu
0.9190 0.7500 0.4174 Cu
0.0900 0.2500 0.8605 Se
0.2358 0.7500 0.5105 Se
0.4259 0.7500 0.1601 Se
0.5741 0.2500 0.8399 Se
0.7642 0.2500 0.4895 Se
0.9100 0.7500 0.1395 Se

PBE Ca2ErCu2Se4, optimized geometry; total energy = -4.63 eV per atom; symmetry = No. 12; volume = 198 Å³/f.u.; formation energy without anion corrections = -1.22 eV per atom; magnetic moment = 0.000 μB/atom
1.0
7.4242 -1.9538 0.0000
7.4242 1.9538 0.0000
-2.9784 0.0000 6.8169
Ca Er Cu Se
2 1 2 4
Direct
0.1346 0.1346 0.0851 Ca
0.8654 0.8654 0.9149 Ca
0.0000 0.0000 0.5000 Er
0.3089 0.3089 0.4842 Cu
0.6911 0.6911 0.5158 Cu
0.2039 0.2039 0.7426 Se
0.4755 0.4755 0.7570 Se
0.5245 0.5245 0.2430 Se
0.7961 0.7961 0.2574 Se

PBE CaErCuSi, optimized geometry; total energy = -4.38 eV per atom; symmetry = No. 216; volume = 86 Å³/f.u.; formation energy without anion corrections = -0.36 eV per atom; magnetic moment = 0.000 μB/atom
1.0
0.0000 3.4967 3.4967
3.4967 0.0000 3.4967
3.4967 3.4967 0.0000
Ca Er Cu Si
1 1 1 1
Direct
0.0000 0.0000 0.0000 Ca
0.5000 0.5000 0.5000 Er
0.7500 0.7500 0.7500 Cu
0.2500 0.2500 0.2500 Si

PBE CaErCu2Sn2, optimized geometry; total energy = -4.30 eV per atom; symmetry = No. 164; ΔE_f = -504 meV per atom; volume = 135 Å³/f.u.; magnetic moment = 0.000 μB/atom
1.0
4.5670 0.0000 0.0000
-2.2835 3.9551 0.0000
0.0000 0.0000 7.4975
Ca Er Cu Sn
1 1 2 2
Direct
0.0000 0.0000 0.0000 Ca
0.0000 0.0000 0.5000 Er
0.3333 0.6667 0.6993 Cu
0.6667 0.3333 0.3007 Cu
0.3333 0.6667 0.2704 Sn
0.6667 0.3333 0.7296 Sn

PBE Ca3EuCu, optimized geometry; total energy = -4.07 eV per atom; symmetry = No. 221; ΔE_f = 3 meV per atom; volume = 188 Å³/f.u.; magnetic moment = 1.513 μB/atom
1.0
5.7262 0.0000 0.0000
0.0000 5.7262 0.0000
0.0000 0.0000 5.7262
Ca Eu Cu
3 1 1
Direct
0.0000 0.0000 0.5000 Ca
0.0000 0.5000 0.0000 Ca
0.5000 0.0000 0.0000 Ca
0.5000 0.5000 0.5000 Eu
0.0000 0.0000 0.0000 Cu

PBE CaEuCu4, optimized geometry; total energy = -4.83 eV per atom; symmetry = No. 216; ΔE_f = -57 meV per atom; volume = 108 Å³/f.u.; magnetic moment = 1.288 μB/atom
1.0
0.0000 3.7848 3.7848
3.7848 0.0000 3.7848
3.7848 3.7848 0.0000
Ca Eu Cu
1 1 4
Direct
0.0000 0.0000 0.0000 Ca
0.2500 0.2500 0.2500 Eu
0.1218 0.6261 0.6261 Cu
0.6261 0.1218 0.6261 Cu
0.6261 0.6261 0.1218 Cu
0.6261 0.6261 0.6261 Cu

PBE CaEuCu2, optimized geometry; total energy = -5.18 eV per atom; symmetry = No. 123; ΔE_f = -65 meV per atom; volume = 93 Å³/f.u.; magnetic moment = 1.809 μB/atom
1.0
5.1086 0.0000 0.0000
0.0000 5.1086 0.0000
0.0000 0.0000 3.5664
Ca Eu Cu
1 1 2
Direct
0.0000 0.0000 0.0000 Ca
0.5000 0.5000 0.0000 Eu
0.0000 0.5000 0.5000 Cu
0.5000 0.0000 0.5000 Cu

PBE CaEuCuGe, optimized geometry; total energy = -5.62 eV per atom; symmetry = No. 216; ΔE_f = -371 meV per atom; volume = 96 Å³/f.u.; magnetic moment = 1.704 μB/atom
1.0
0.0000 3.6299 3.6299
3.6299 0.0000 3.6299
3.6299 3.6299 0.0000
Ca Eu Cu Ge
1 1 1 1
Direct
0.0000 0.0000 0.0000 Ca
0.5000 0.5000 0.5000 Eu
0.7500 0.7500 0.7500 Cu
0.2500 0.2500 0.2500 Ge